# 1
A relaxed structure of Rb3Ho2ScTe6. Source: Alexandria, functional PBE-GGA.

Lattice parameters (Å, degrees): 7.7189 7.7189 8.9080 98.31 98.31 120.00
Last column: nearest neighbours and their distance in Å.
Fractional positions:
Te: 0.7422 0.7422 0.1961  1 Sc 3.00, 2 Ho 3.10
Te: 0.6118 0.9352 0.8051  1 Sc 3.00, 2 Ho 3.10
Rb: 0.1697 0.8303 0.5000  6 Te 3.63-3.69
Sc: 0.0000 0.0000 0.0000  6 Te 3.00
Te: 0.9352 0.6118 0.8051  1 Sc 3.00, 2 Ho 3.10
Te: 0.3882 0.0648 0.1949  1 Sc 3.00, 2 Ho 3.10
Rb: 0.8303 0.1697 0.5000  6 Te 3.63-3.69
Te: 0.2578 0.2578 0.8039  1 Sc 3.00, 2 Ho 3.10
Ho: 0.6662 0.3338 0.0000  6 Te 3.10
Te: 0.0648 0.3882 0.1949  1 Sc 3.00, 2 Ho 3.10
Rb: 0.5000 0.5000 0.5000  6 Te 3.63-3.71
Ho: 0.3338 0.6662 0.0000  6 Te 3.10

Properties
As for the symmetry: C2/m (12). For the raw total energy, the calculation gives -4.43 eV per atom. The calculation puts the volume at 440.0 Å³/cell. As for the formation energy without anion corrections: -30.59 kcal/mol of atoms. The magnetic moment comes out at 0.000 μB per atom.


# 2
A relaxed structure of Rb2HoScTe4. Source: Alexandria, functional PBE-GGA.

Lattice parameters (Å, degrees): 4.4292 7.6722 8.8931 106.68 90.00 90.00
Last column: nearest neighbours and their distance in Å.
Fractional positions:
Te: 0.5000 0.7787 0.8086  2 Sc 3.00, 1 Ho 3.09
Rb: 0.0000 0.5000 0.5000  6 Te 3.69
Sc: 0.0000 0.0000 0.0000  6 Te 3.00
Te: 0.0000 0.2588 0.8038  1 Sc 3.00, 2 Ho 3.09
Ho: 0.5000 0.5000 0.0000  6 Te 3.09
Te: 0.5000 0.2213 0.1914  2 Sc 3.00, 1 Ho 3.09
Rb: 0.5000 0.0000 0.5000  6 Te 3.61-3.62
Te: 0.0000 0.7412 0.1962  1 Sc 3.00, 2 Ho 3.09

Properties
As for the symmetry: P2/m (10). For the raw total energy, the calculation gives -4.48 eV per atom. The calculation puts the volume at 289.5 Å³/cell. As for the formation energy without anion corrections: -30.01 kcal/mol of atoms. The magnetic moment comes out at 0.000 μB per atom.


# 3
A relaxed structure of Rb3HoSc2Te6. Source: Alexandria, functional PBE-GGA.

Lattice parameters (Å, degrees): 7.6206 7.6206 8.8779 98.23 98.23 120.00
Last column: nearest neighbours and their distance in Å.
Fractional positions:
Rb: 0.1637 0.8363 0.5000  6 Te 3.61-3.67
Ho: 0.0000 0.0000 0.0000  6 Te 3.09
Sc: 0.6670 0.3330 0.0000  6 Te 2.99
Rb: 0.5000 0.5000 0.5000  6 Te 3.60-3.67
Te: 0.0643 0.4079 0.1927  2 Sc 2.99, 1 Ho 3.09
Sc: 0.3330 0.6670 0.0000  6 Te 2.99
Te: 0.4079 0.0643 0.1927  2 Sc 2.99, 1 Ho 3.09
Rb: 0.8363 0.1637 0.5000  6 Te 3.61-3.67
Te: 0.2798 0.2798 0.8084  2 Sc 2.99, 1 Ho 3.09
Te: 0.9357 0.5921 0.8073  2 Sc 2.99, 1 Ho 3.09
Te: 0.7202 0.7202 0.1916  2 Sc 2.99, 1 Ho 3.09
Te: 0.5921 0.9357 0.8073  2 Sc 2.99, 1 Ho 3.09

Properties
As for the symmetry: C2/m (12). For the raw total energy, the calculation gives -4.53 eV per atom. The calculation puts the volume at 427.8 Å³/cell. As for the formation energy without anion corrections: -29.52 kcal/mol of atoms. The magnetic moment comes out at 0.000 μB per atom.